This record from the Alexandria database describes a geometry-optimized CeSm2Rh3 structure. The functional is PBE.

a = 12.934 Å, b = 5.790 Å, c = 7.674 Å
α = 90.00°, β = 106.20°, γ = 90.00°
Space group C2/c (No. 15)
Unique sites:
Ce  0.000  0.066  0.250 x4
Sm  0.169  0.463  0.073 x8
Rh  0.000  0.417  0.750 x4
Rh  0.151  0.044  0.601 x8

- Crystal system: monoclinic
- DOS at the Fermi energy: 0.60 states/eV per atom
- Formation energy: -60.5 kJ/mol of atoms
- Energy above the most stable polymorph in this dataset: 0.50 eV/f.u.